No. 1
# LiGa2HgSb, optimized geometry, DFT PBE-GGA
data_LiGa2HgSb
_symmetry_space_group_name_H-M 'P 4/m m m'
_symmetry_Int_Tables_number 123
_symmetry_space_group_name_Hall '-P 4 2'
_cell_length_a 5.211
_cell_length_b 5.211
_cell_length_c 5.831
_cell_angle_alpha 90.00
_cell_angle_beta 90.00
_cell_angle_gamma 90.00
loop_
_atom_site_label
_atom_site_type_symbol
_atom_site_fract_x
_atom_site_fract_y
_atom_site_fract_z
Li1 Li 0.000 0.000 0.000
Ga1 Ga 0.000 0.500 0.500
Hg1 Hg 0.500 0.500 0.500
Sb1 Sb 0.500 0.500 0.000
# **Uncorrected energy**: -0.077 hartree per atom
# **Magnetic moment**: 0.000 μB/f.u.

---

No. 2
# LiGaSnHg, optimized geometry, DFT PBE-GGA
data_LiGaSnHg
_symmetry_space_group_name_H-M 'P 1 m 1'
_symmetry_Int_Tables_number 6
_cell_length_a 3.059
_cell_length_b 3.298
_cell_length_c 8.822
_cell_angle_alpha 90.00
_cell_angle_beta 99.39
_cell_angle_gamma 90.00
loop_
_symmetry_equiv_pos_as_xyz
'x,y,z'
'x,-y,z'
loop_
_atom_site_label
_atom_site_type_symbol
_atom_site_fract_x
_atom_site_fract_y
_atom_site_fract_z
Li1 Li 0.000 0.000 0.000
Ga1 Ga 0.987 0.000 0.518
Sn1 Sn 0.599 0.500 0.244
Hg1 Hg 0.404 0.500 0.787
# **ΔE to the lowest computed polymorph**: 0.0 kJ per mole of atoms
# **ΔH_f (0 K)**: -12.9 kJ/mol of atoms
# **Magnetic moment**: 0.000 μB/f.u.

---

No. 3
# Li2GaSnHg, optimized geometry, DFT PBE-GGA
data_Li2GaSnHg
_symmetry_space_group_name_H-M 'P 1 21/m 1'
_symmetry_Int_Tables_number 11
_cell_length_a 6.722
_cell_length_b 4.149
_cell_length_c 7.085
_cell_angle_alpha 90.00
_cell_angle_beta 94.11
_cell_angle_gamma 90.00
loop_
_symmetry_equiv_pos_as_xyz
'x,y,z'
'-x,-y,-z'
'-x,y+1/2,-z'
'x,-y+1/2,z'
loop_
_atom_site_label
_atom_site_type_symbol
_atom_site_fract_x
_atom_site_fract_y
_atom_site_fract_z
Li1 Li 0.156 0.250 0.455
Li2 Li 0.339 0.250 0.048
Ga1 Ga 0.450 0.750 0.359
Sn1 Sn 0.268 0.750 0.744
Hg1 Hg 0.065 0.750 0.176
# **ΔE to the lowest computed polymorph**: 0.0 kJ per mole of atoms
# **ΔH_f (0 K)**: -24.7 kJ/mol of atoms
# **Magnetic moment**: 0.000 μB/f.u.

---

No. 4
# LiGaSnHg, optimized geometry, DFT PBE-GGA
data_LiGaSnHg
_symmetry_space_group_name_H-M 'F -4 3 m'
_symmetry_Int_Tables_number 216
_symmetry_space_group_name_Hall 'F -4 2 3'
_cell_length_a 6.996
_cell_length_b 6.996
_cell_length_c 6.996
_cell_angle_alpha 90.00
_cell_angle_beta 90.00
_cell_angle_gamma 90.00
loop_
_atom_site_label
_atom_site_type_symbol
_atom_site_fract_x
_atom_site_fract_y
_atom_site_fract_z
Li1 Li 0.000 0.000 0.000
Ga1 Ga 0.000 0.000 0.500
Sn1 Sn 0.250 0.250 0.250
Hg1 Hg 0.250 0.250 0.750
# **ΔE to the lowest computed polymorph**: 0.9 kJ per mole of atoms
# **ΔH_f (0 K)**: -11.9 kJ/mol of atoms
# **Magnetic moment**: 0.000 μB/f.u.

---

No. 5
# Li2GaSnHg, optimized geometry, DFT PBE-GGA
data_Li2GaSnHg
_symmetry_space_group_name_H-M 'P 4/m m m'
_symmetry_Int_Tables_number 123
_symmetry_space_group_name_Hall '-P 4 2'
_cell_length_a 4.976
_cell_length_b 4.976
_cell_length_c 5.055
_cell_angle_alpha 90.00
_cell_angle_beta 90.00
_cell_angle_gamma 90.00
loop_
_atom_site_label
_atom_site_type_symbol
_atom_site_fract_x
_atom_site_fract_y
_atom_site_fract_z
Li1 Li 0.000 0.500 0.000
Ga1 Ga 0.000 0.000 0.500
Sn1 Sn 0.500 0.500 0.500
Hg1 Hg 0.000 0.000 0.000
# **ΔE to the lowest computed polymorph**: 34.0 kJ per mole of atoms
# **ΔH_f (0 K)**: 9.4 kJ/mol of atoms
# **Magnetic moment**: 0.000 μB/f.u.

---

No. 6
# SrLiGaHg3, optimized geometry, DFT PBE-GGA
data_SrLiGaHg3
_symmetry_space_group_name_H-M 'C m c m'
_symmetry_Int_Tables_number 63
_symmetry_space_group_name_Hall '-C 2c 2'
_cell_length_a 7.121
_cell_length_b 13.102
_cell_length_c 6.501
_cell_angle_alpha 90.00
_cell_angle_beta 90.00
_cell_angle_gamma 90.00
loop_
_atom_site_label
_atom_site_type_symbol
_atom_site_fract_x
_atom_site_fract_y
_atom_site_fract_z
Sr1 Sr 0.000 0.206 0.250
Li1 Li 0.000 0.452 0.250
Ga1 Ga 0.000 0.133 0.750
Hg1 Hg 0.000 0.343 0.750
Hg2 Hg 0.219 0.000 0.000
# **ΔH_f (0 K)**: -24.8 kJ/mol of atoms
# **Magnetic moment**: 0.000 μB/f.u.

---

No. 7
# SrLiGaHg2, optimized geometry, DFT PBE-GGA
data_SrLiGaHg2
_symmetry_space_group_name_H-M 'P 4/m m m'
_symmetry_Int_Tables_number 123
_symmetry_space_group_name_Hall '-P 4 2'
_cell_length_a 5.057
_cell_length_b 5.057
_cell_length_c 4.926
_cell_angle_alpha 90.00
_cell_angle_beta 90.00
_cell_angle_gamma 90.00
loop_
_atom_site_label
_atom_site_type_symbol
_atom_site_fract_x
_atom_site_fract_y
_atom_site_fract_z
Sr1 Sr 0.000 0.000 0.000
Li1 Li 0.500 0.500 0.500
Ga1 Ga 0.500 0.500 0.000
Hg1 Hg 0.000 0.500 0.500
# **ΔH_f (0 K)**: -24.3 kJ/mol of atoms
# **Magnetic moment**: 0.000 μB/f.u.

---

No. 8
# Li2TlGaHg, optimized geometry, DFT PBE-GGA
data_Li2TlGaHg
_symmetry_space_group_name_H-M 'P 4/m m m'
_symmetry_Int_Tables_number 123
_symmetry_space_group_name_Hall '-P 4 2'
_cell_length_a 5.058
_cell_length_b 5.058
_cell_length_c 5.159
_cell_angle_alpha 90.00
_cell_angle_beta 90.00
_cell_angle_gamma 90.00
loop_
_atom_site_label
_atom_site_type_symbol
_atom_site_fract_x
_atom_site_fract_y
_atom_site_fract_z
Li1 Li 0.000 0.500 0.000
Tl1 Tl 0.000 0.000 0.500
Ga1 Ga 0.500 0.500 0.000
Hg1 Hg 0.500 0.500 0.500
# **ΔH_f (0 K)**: 3.3 kJ/mol of atoms
# **Magnetic moment**: 0.000 μB/f.u.

---

No. 9
# LiTl2GaHg6, optimized geometry, DFT PBE-GGA
data_LiTl2GaHg6
_symmetry_space_group_name_H-M 'P -1'
_symmetry_Int_Tables_number 2
_cell_length_a 6.327
_cell_length_b 6.437
_cell_length_c 8.116
_cell_angle_alpha 68.25
_cell_angle_beta 71.90
_cell_angle_gamma 67.05
loop_
_symmetry_equiv_pos_as_xyz
'x,y,z'
'-x,-y,-z'
loop_
_atom_site_label
_atom_site_type_symbol
_atom_site_fract_x
_atom_site_fract_y
_atom_site_fract_z
Li1 Li 0.000 0.000 0.000
Tl1 Tl 0.132 0.223 0.252
Ga1 Ga 0.500 0.500 0.500
Hg1 Hg 0.106 0.683 0.332
Hg2 Hg 0.337 0.243 0.849
Hg3 Hg 0.365 0.857 0.681
# **ΔH_f (0 K)**: -2.0 kJ/mol of atoms
# **Magnetic moment**: 0.000 μB/f.u.

---

No. 10
# LiTlGaHg, optimized geometry, DFT PBE-GGA
data_LiTlGaHg
_symmetry_space_group_name_H-M 'F -4 3 m'
_symmetry_Int_Tables_number 216
_symmetry_space_group_name_Hall 'F -4 2 3'
_cell_length_a 7.065
_cell_length_b 7.065
_cell_length_c 7.065
_cell_angle_alpha 90.00
_cell_angle_beta 90.00
_cell_angle_gamma 90.00
loop_
_atom_site_label
_atom_site_type_symbol
_atom_site_fract_x
_atom_site_fract_y
_atom_site_fract_z
Li1 Li 0.000 0.000 0.000
Tl1 Tl 0.250 0.250 0.750
Ga1 Ga 0.000 0.000 0.500
Hg1 Hg 0.250 0.250 0.250
# **ΔH_f (0 K)**: -10.3 kJ/mol of atoms
# **Magnetic moment**: 0.000 μB/f.u.

---

No. 11
# LiTmGaHg, optimized geometry, DFT PBE-GGA
data_LiTmGaHg
_symmetry_space_group_name_H-M 'F -4 3 m'
_symmetry_Int_Tables_number 216
_symmetry_space_group_name_Hall 'F -4 2 3'
_cell_length_a 6.905
_cell_length_b 6.905
_cell_length_c 6.905
_cell_angle_alpha 90.00
_cell_angle_beta 90.00
_cell_angle_gamma 90.00
loop_
_atom_site_label
_atom_site_type_symbol
_atom_site_fract_x
_atom_site_fract_y
_atom_site_fract_z
Li1 Li 0.000 0.000 0.000
Tm1 Tm 0.000 0.000 0.500
Ga1 Ga 0.250 0.250 0.750
Hg1 Hg 0.250 0.250 0.250
# **ΔH_f (0 K)**: -42.2 kJ/mol of atoms
# **Magnetic moment**: 0.000 μB/f.u.

---

No. 12
# LiYGaHg, optimized geometry, DFT PBE-GGA
data_LiYGaHg
_symmetry_space_group_name_H-M 'F -4 3 m'
_symmetry_Int_Tables_number 216
_symmetry_space_group_name_Hall 'F -4 2 3'
_cell_length_a 6.980
_cell_length_b 6.980
_cell_length_c 6.980
_cell_angle_alpha 90.00
_cell_angle_beta 90.00
_cell_angle_gamma 90.00
loop_
_atom_site_label
_atom_site_type_symbol
_atom_site_fract_x
_atom_site_fract_y
_atom_site_fract_z
Li1 Li 0.000 0.000 0.000
Y1 Y 0.000 0.000 0.500
Ga1 Ga 0.250 0.250 0.750
Hg1 Hg 0.250 0.250 0.250
# **ΔH_f (0 K)**: -43.9 kJ/mol of atoms
# **Magnetic moment**: 0.000 μB/f.u.